# 1
A plane-wave DFT calculation with PBE was carried out for a geometry-optimized LaOsNO2 structure.

Unit cell a=4.377 b=4.377 c=4.683 alpha=90.00 beta=90.00 gamma=90.00
Each line ends with the local moment (μB).
Element x y z (fractional)
N 0.000 0.000 0.500  -0.02
Os 0.500 0.500 0.500  3.53
O 0.000 0.500 0.000  0.25
O 0.500 0.000 0.000  0.25
La 0.000 0.000 0.000  -0.03

Calculated values
Energy relative to the elements, uncorrected: 802 meV per atom
DFT total energy: -6.077 eV per atom

# 2
A plane-wave DFT calculation with PBE was carried out for a geometry-optimized LaPNO2 structure.

Unit cell a=4.085 b=4.591 c=4.085 alpha=90.00 beta=90.00 gamma=90.00
Element x y z (fractional)
P 0.500 0.500 0.500
N 0.000 0.000 0.000
O 0.000 0.000 0.500
O 0.500 0.000 0.000
La 0.000 0.500 0.000

Calculated values
Energy relative to the elements, uncorrected: 460 meV per atom
DFT total energy: -5.256 eV per atom